Record 1
A plane-wave DFT calculation with SCAN was carried out for a crystal of PBr3 relaxed with PBEsol.

```
PBr3
1.0
5.248 -5.464 0.000
5.248 5.464 0.000
0.000 0.000 4.933
P Br
2 6
Direct
0.016 0.984 0.750
0.984 0.016 0.250
0.028 0.306 0.250
0.306 0.028 0.750
0.473 0.527 0.750
0.527 0.473 0.250
0.694 0.972 0.250
0.972 0.694 0.750
```

Summary:
electronic total energy	-139.17	eV for the cell shown
DOS(E_F)	0.830	states/eV/f.u.
formation energy from raw total energies	-20	kJ/mol of atoms


Record 2
A plane-wave DFT calculation with SCAN was carried out for a crystal of PBr3 relaxed with PBEsol.

```
PBr3
1.0
5.008 0.000 0.000
0.000 11.338 0.000
0.000 0.000 4.347
P Br
2 6
Direct
0.250 0.250 0.025
0.750 0.750 0.975
0.250 0.095 0.710
0.250 0.405 0.710
0.250 0.750 0.854
0.750 0.250 0.146
0.750 0.595 0.290
0.750 0.905 0.290
```

Summary:
electronic total energy	-139.83	eV for the cell shown
formation energy from raw total energies	-27	kJ/mol of atoms


Record 3
A plane-wave DFT calculation with SCAN was carried out for a crystal of P3Br relaxed with PBEsol.

```
P3Br
1.0
4.638 0.000 0.000
0.000 4.638 0.000
0.000 0.000 3.050
P Br
3 1
Direct
0.000 0.000 0.000
0.000 0.500 0.500
0.500 0.000 0.500
0.500 0.500 0.000
```

Summary:
electronic total energy	-45.85	eV for the cell shown
energy above the most stable polymorph in this dataset	813	meV per atom
DOS(E_F)	2.019	states/eV/f.u.
formation energy from raw total energies	116	kJ/mol of atoms


Record 4
A plane-wave DFT calculation with SCAN was carried out for a crystal of PPbBr2 relaxed with PBEsol.

```
PPbBr2
1.0
1.747 1.009 9.019
-1.747 1.009 9.019
0.000 -2.017 9.019
P Pb Br
1 1 2
Direct
0.000 0.000 0.000
0.500 0.500 0.500
0.258 0.258 0.258
0.742 0.742 0.742
```

Summary:
electronic total energy	-123.47	eV for the cell shown
energy above the most stable polymorph in this dataset	297	meV per atom
DOS(E_F)	2.349	states/eV/f.u.
formation energy from raw total energies	39	kJ/mol of atoms


Record 5
A plane-wave DFT calculation with SCAN was carried out for a crystal of PPb2Br relaxed with PBEsol.

```
PPb2Br
1.0
2.107 1.217 7.340
-2.107 1.217 7.340
0.000 -2.433 7.340
P Pb Br
1 2 1
Direct
0.000 0.000 0.000
0.264 0.264 0.264
0.736 0.736 0.736
0.500 0.500 0.500
```

Summary:
electronic total energy	-182.86	eV for the cell shown
energy above the most stable polymorph in this dataset	0	meV per atom
DOS(E_F)	0.087	states/eV/f.u.
formation energy from raw total energies	-35	kJ/mol of atoms


Record 6
A plane-wave DFT calculation with SCAN was carried out for a crystal of PPbBr2 relaxed with PBEsol.

```
PPbBr2
1.0
3.598 0.000 0.000
0.000 4.626 0.000
0.000 0.000 5.875
P Pb Br
1 1 2
Direct
0.000 0.000 0.000
0.500 0.000 0.500
0.000 0.500 0.500
0.500 0.500 0.000
```

Summary:
electronic total energy	-124.42	eV for the cell shown
energy above the most stable polymorph in this dataset	59	meV per atom
DOS(E_F)	1.451	states/eV/f.u.
formation energy from raw total energies	16	kJ/mol of atoms


Record 7
A plane-wave DFT calculation with SCAN was carried out for a crystal of PPbBr2 relaxed with PBEsol.

```
PPbBr2
1.0
3.284 -4.488 0.000
3.284 4.488 0.000
-3.259 0.000 3.655
P Pb Br
1 1 2
Direct
0.000 0.000 0.000
0.500 0.500 0.000
0.000 0.500 0.500
0.500 0.000 0.500
```

Summary:
electronic total energy	-124.66	eV for the cell shown
energy above the most stable polymorph in this dataset	0	meV per atom
DOS(E_F)	1.616	states/eV/f.u.
formation energy from raw total energies	11	kJ/mol of atoms


Record 8
A plane-wave DFT calculation with SCAN was carried out for a crystal of PPb2Br relaxed with PBEsol.

```
PPb2Br
1.0
2.061 1.190 7.797
-2.061 1.190 7.797
0.000 -2.380 7.797
P Pb Br
1 2 1
Direct
0.000 0.000 0.000
0.486 0.486 0.486
0.719 0.719 0.719
0.228 0.228 0.228
```

Summary:
electronic total energy	-181.51	eV for the cell shown
energy above the most stable polymorph in this dataset	336	meV per atom
DOS(E_F)	0.435	states/eV/f.u.
formation energy from raw total energies	-2	kJ/mol of atoms